# 1
# KNb2N

An optimized crystal structure of KNb2N (GGA-PBEsol, Alexandria).

Cell lengths 6.5106, 6.5106, 6.5106 Å; angles 60.00, 60.00, 60.00 degrees
Fractional coordinates of all 8 atoms:
K  0.1250  0.1250  0.1250
K  0.8750  0.8750  0.8750
Nb  0.0000  0.5000  0.5000
Nb  0.5000  0.0000  0.5000
Nb  0.5000  0.5000  0.0000
Nb  0.5000  0.5000  0.5000
N  0.3750  0.3750  0.3750
N  0.6250  0.6250  0.6250

Uncorrected energy in eV per atom: -7.355
Formation energy from raw total energies in meV per atom: 471


# 2
# KNbN2

An optimized crystal structure of KNbN2 (GGA-PBEsol, Alexandria).

Cell lengths 5.8905, 11.7852, 16.5882 Å; angles 90.00, 90.00, 90.00 degrees
Fractional coordinates of all 64 atoms:
K  0.2212  0.2363  0.1838
K  0.2212  0.2637  0.6838
K  0.2353  0.0028  0.5591
K  0.2353  0.4972  0.0591
K  0.2647  0.5028  0.5591
K  0.2647  0.9972  0.0591
K  0.2788  0.7363  0.1838
K  0.2788  0.7637  0.6838
K  0.7212  0.2363  0.3162
K  0.7212  0.2637  0.8162
K  0.7353  0.0028  0.9409
K  0.7353  0.4972  0.4409
K  0.7647  0.5028  0.9409
K  0.7647  0.9972  0.4409
K  0.7788  0.7363  0.3162
K  0.7788  0.7637  0.8162
Nb  0.2324  0.0108  0.8101
Nb  0.2324  0.4892  0.3101
Nb  0.2376  0.2338  0.4347
Nb  0.2376  0.2662  0.9347
Nb  0.2624  0.7338  0.4347
Nb  0.2624  0.7662  0.9347
Nb  0.2676  0.5108  0.8101
Nb  0.2676  0.9892  0.3101
Nb  0.7324  0.0108  0.6899
Nb  0.7324  0.4892  0.1899
Nb  0.7376  0.2338  0.0653
Nb  0.7376  0.2662  0.5653
Nb  0.7624  0.7338  0.0653
Nb  0.7624  0.7662  0.5653
Nb  0.7676  0.5108  0.6899
Nb  0.7676  0.9892  0.1899
N  0.0417  0.6987  0.0077
N  0.0417  0.8013  0.5077
N  0.0515  0.5183  0.2143
N  0.0515  0.9817  0.7143
N  0.1377  0.5914  0.3962
N  0.1377  0.9086  0.8962
N  0.1813  0.1673  0.8428
N  0.1813  0.3327  0.3428
N  0.3187  0.6673  0.8428
N  0.3187  0.8327  0.3428
N  0.3623  0.0914  0.3962
N  0.3623  0.4086  0.8962
N  0.4485  0.0183  0.2143
N  0.4485  0.4817  0.7143
N  0.4583  0.1987  0.0077
N  0.4583  0.3013  0.5077
N  0.5417  0.6987  0.4923
N  0.5417  0.8013  0.9923
N  0.5515  0.5183  0.2857
N  0.5515  0.9817  0.7857
N  0.6377  0.5914  0.1038
N  0.6377  0.9086  0.6038
N  0.6813  0.1673  0.6572
N  0.6813  0.3327  0.1572
N  0.8187  0.6673  0.6572
N  0.8187  0.8327  0.1572
N  0.8623  0.0914  0.1038
N  0.8623  0.4086  0.6038
N  0.9485  0.0183  0.2857
N  0.9485  0.4817  0.7857
N  0.9583  0.1987  0.4923
N  0.9583  0.3013  0.9923

Uncorrected energy in eV per atom: -8.072
Formation energy from raw total energies in meV per atom: -820


# 3
# KNbS2N

An optimized crystal structure of KNbS2N (GGA-PBEsol, Alexandria).

Cell lengths 5.0452, 5.0452, 3.9895 Å; angles 90.00, 90.00, 90.00 degrees
Fractional coordinates of all 5 atoms:
K  0.0000  0.0000  0.0000
Nb  0.5000  0.5000  0.5000
S  0.0000  0.5000  0.0000
S  0.5000  0.0000  0.0000
N  0.0000  0.0000  0.5000

Uncorrected energy in eV per atom: -3.896
Formation energy from raw total energies in meV per atom: 1954


# 4
# KNb2SN

An optimized crystal structure of KNb2SN (GGA-PBEsol, Alexandria).

Cell lengths 4.5676, 4.5676, 4.8237 Å; angles 90.00, 90.00, 90.00 degrees
Fractional coordinates of all 5 atoms:
K  0.0000  0.0000  0.0000
Nb  0.0000  0.5000  0.5000
Nb  0.5000  0.0000  0.5000
S  0.5000  0.5000  0.5000
N  0.5000  0.5000  0.0000

Uncorrected energy in eV per atom: -5.841
Formation energy from raw total energies in meV per atom: 1296


# 5
# KNiSn2N

An optimized crystal structure of KNiSn2N (GGA-PBEsol, Alexandria).

Cell lengths 4.6948, 4.6948, 6.1342 Å; angles 90.00, 90.00, 90.00 degrees
Fractional coordinates of all 5 atoms:
K  0.0000  0.0000  0.0000
Ni  0.0000  0.0000  0.5000
Sn  0.0000  0.5000  0.5000
Sn  0.5000  0.0000  0.5000
N  0.5000  0.5000  0.0000

Uncorrected energy in eV per atom: -3.976
Formation energy from raw total energies in meV per atom: 891


# 6
# KNi2SnN

An optimized crystal structure of KNi2SnN (GGA-PBEsol, Alexandria).

Cell lengths 4.6407, 4.6407, 6.6350 Å; angles 90.00, 90.00, 90.00 degrees
Fractional coordinates of all 5 atoms:
K  0.0000  0.0000  0.0000
Ni  0.0000  0.5000  0.5000
Ni  0.5000  0.0000  0.5000
Sn  0.0000  0.0000  0.5000
N  0.5000  0.5000  0.0000

Uncorrected energy in eV per atom: -3.587
Formation energy from raw total energies in meV per atom: 1660


# 7
# KSrNiN2

An optimized crystal structure of KSrNiN2 (GGA-PBEsol, Alexandria).

Cell lengths 4.0948, 4.0948, 4.5813 Å; angles 90.00, 90.00, 90.00 degrees
Fractional coordinates of all 5 atoms:
K  0.0000  0.0000  0.0000
Sr  0.5000  0.5000  0.0000
Ni  0.5000  0.5000  0.5000
N  0.0000  0.5000  0.5000
N  0.5000  0.0000  0.5000

Uncorrected energy in eV per atom: -4.263
Formation energy from raw total energies in meV per atom: 974


# 8
# KNiTe2N

An optimized crystal structure of KNiTe2N (GGA-PBEsol, Alexandria).

Cell lengths 5.6974, 5.6974, 3.3909 Å; angles 90.00, 90.00, 90.00 degrees
Fractional coordinates of all 5 atoms:
K  0.0000  0.0000  0.0000
Ni  0.5000  0.5000  0.5000
Te  0.0000  0.5000  0.5000
Te  0.5000  0.0000  0.5000
N  0.5000  0.5000  0.0000

Uncorrected energy in eV per atom: -4.502
Formation energy from raw total energies in meV per atom: 72


# 9
# KSbNO2

An optimized crystal structure of KSbNO2 (GGA-PBEsol, Alexandria).

Cell lengths 4.3450, 4.3450, 4.2123 Å; angles 90.00, 90.00, 90.00 degrees
Fractional coordinates of all 5 atoms:
K  0.0000  0.0000  0.0000
Sb  0.5000  0.5000  0.5000
N  0.0000  0.0000  0.5000
O  0.0000  0.5000  0.0000
O  0.5000  0.0000  0.0000

Uncorrected energy in eV per atom: -3.510
Formation energy from raw total energies in meV per atom: 1434


# 10
# KScNO2

An optimized crystal structure of KScNO2 (GGA-PBEsol, Alexandria).

Cell lengths 4.1198, 4.1198, 4.4073 Å; angles 90.00, 90.00, 90.00 degrees
Fractional coordinates of all 5 atoms:
K  0.0000  0.0000  0.0000
Sc  0.5000  0.5000  0.5000
N  0.5000  0.5000  0.0000
O  0.0000  0.5000  0.5000
O  0.5000  0.0000  0.5000

Uncorrected energy in eV per atom: -6.463
Formation energy from raw total energies in meV per atom: -1111


# 11
# KSiN2O

An optimized crystal structure of KSiN2O (GGA-PBEsol, Alexandria).

Cell lengths 4.6868, 4.6868, 4.4943 Å; angles 90.00, 90.00, 90.00 degrees
Fractional coordinates of all 5 atoms:
K  0.0000  0.0000  0.0000
Si  0.5000  0.5000  0.5000
N  0.0000  0.5000  0.0000
N  0.5000  0.0000  0.0000
O  0.0000  0.0000  0.5000

Uncorrected energy in eV per atom: -3.371
Formation energy from raw total energies in meV per atom: 2465


# 12
# KSrN2O

An optimized crystal structure of KSrN2O (GGA-PBEsol, Alexandria).

Cell lengths 4.6927, 4.6927, 4.5768 Å; angles 90.00, 90.00, 90.00 degrees
Fractional coordinates of all 5 atoms:
K  0.0000  0.0000  0.0000
Sr  0.5000  0.5000  0.5000
N  0.0000  0.5000  0.0000
N  0.5000  0.0000  0.0000
O  0.0000  0.0000  0.5000

Uncorrected energy in eV per atom: -3.964
Formation energy from raw total energies in meV per atom: 1091


# 13
# KTlNO2

An optimized crystal structure of KTlNO2 (GGA-PBEsol, Alexandria).

Cell lengths 4.7436, 4.7436, 4.9546 Å; angles 90.00, 90.00, 90.00 degrees
Fractional coordinates of all 5 atoms:
K  0.0000  0.0000  0.0000
Tl  0.5000  0.5000  0.5000
N  0.0000  0.0000  0.5000
O  0.0000  0.5000  0.0000
O  0.5000  0.0000  0.0000

Uncorrected energy in eV per atom: -3.357
Formation energy from raw total energies in meV per atom: 1201


# 14
# KWNO2

An optimized crystal structure of KWNO2 (GGA-PBEsol, Alexandria).

Cell lengths 3.9441, 3.9441, 3.9348 Å; angles 90.00, 90.00, 90.00 degrees
Fractional coordinates of all 5 atoms:
K  0.0000  0.0000  0.0000
W  0.5000  0.5000  0.5000
N  0.5000  0.5000  0.0000
O  0.0000  0.5000  0.5000
O  0.5000  0.0000  0.5000

Uncorrected energy in eV per atom: -8.290
Formation energy from raw total energies in meV per atom: -1497


# 15
# KZnNO2

An optimized crystal structure of KZnNO2 (GGA-PBEsol, Alexandria).

Cell lengths 4.6548, 4.6548, 4.8354 Å; angles 90.00, 90.00, 90.00 degrees
Fractional coordinates of all 5 atoms:
K  0.0000  0.0000  0.0000
Zn  0.5000  0.5000  0.5000
N  0.0000  0.0000  0.5000
O  0.0000  0.5000  0.0000
O  0.5000  0.0000  0.0000

Uncorrected energy in eV per atom: -2.652
Formation energy from raw total energies in meV per atom: 1696


# 16
# KTeOsN2

An optimized crystal structure of KTeOsN2 (GGA-PBEsol, Alexandria).

Cell lengths 4.4412, 4.4412, 6.5546 Å; angles 90.00, 90.00, 90.00 degrees
Fractional coordinates of all 5 atoms:
K  0.0000  0.0000  0.0000
Te  0.0000  0.0000  0.5000
Os  0.5000  0.5000  0.5000
N  0.0000  0.5000  0.0000
N  0.5000  0.0000  0.0000

Uncorrected energy in eV per atom: -3.624
Formation energy from raw total energies in meV per atom: 3162


# 17
# KPS2N

An optimized crystal structure of KPS2N (GGA-PBEsol, Alexandria).

Cell lengths 5.4633, 5.4633, 4.6908 Å; angles 90.00, 90.00, 90.00 degrees
Fractional coordinates of all 5 atoms:
K  0.0000  0.0000  0.0000
P  0.5000  0.5000  0.5000
S  0.0000  0.5000  0.0000
S  0.5000  0.0000  0.0000
N  0.0000  0.0000  0.5000

Uncorrected energy in eV per atom: -2.647
Formation energy from raw total energies in meV per atom: 2196


# 18
# KTe2PN

An optimized crystal structure of KTe2PN (GGA-PBEsol, Alexandria).

Cell lengths 6.1228, 6.1228, 3.2097 Å; angles 90.00, 90.00, 90.00 degrees
Fractional coordinates of all 5 atoms:
K  0.0000  0.0000  0.0000
Te  0.0000  0.5000  0.5000
Te  0.5000  0.0000  0.5000
P  0.5000  0.5000  0.5000
N  0.5000  0.5000  0.0000

Uncorrected energy in eV per atom: -4.436
Formation energy from raw total energies in meV per atom: 65


# 19
# KPbSe2N

An optimized crystal structure of KPbSe2N (GGA-PBEsol, Alexandria).

Cell lengths 5.5140, 5.5140, 4.5391 Å; angles 90.00, 90.00, 90.00 degrees
Fractional coordinates of all 5 atoms:
K  0.0000  0.0000  0.0000
Pb  0.5000  0.5000  0.5000
Se  0.0000  0.5000  0.5000
Se  0.5000  0.0000  0.5000
N  0.5000  0.5000  0.0000

Uncorrected energy in eV per atom: -3.832
Formation energy from raw total energies in meV per atom: 440


# 20
# KPd2N

An optimized crystal structure of KPd2N (GGA-PBEsol, Alexandria).

Cell lengths 5.4800, 5.4800, 11.0765 Å; angles 90.00, 90.00, 90.00 degrees
Fractional coordinates of all 16 atoms:
K  0.0000  0.2500  0.3750
K  0.0000  0.7500  0.6250
K  0.5000  0.2500  0.1250
K  0.5000  0.7500  0.8750
Pd  0.0000  0.0000  0.0000
Pd  0.0000  0.5000  0.0000
Pd  0.2500  0.2500  0.7500
Pd  0.2500  0.7500  0.2500
Pd  0.5000  0.0000  0.5000
Pd  0.5000  0.5000  0.5000
Pd  0.7500  0.2500  0.7500
Pd  0.7500  0.7500  0.2500
N  0.0000  0.2500  0.8750
N  0.0000  0.7500  0.1250
N  0.5000  0.2500  0.6250
N  0.5000  0.7500  0.3750

Uncorrected energy in eV per atom: -5.297
Formation energy from raw total energies in meV per atom: 97


# 21
# KTe2PdN

An optimized crystal structure of KTe2PdN (GGA-PBEsol, Alexandria).

Cell lengths 5.8370, 5.8370, 4.5667 Å; angles 90.00, 90.00, 90.00 degrees
Fractional coordinates of all 5 atoms:
K  0.0000  0.0000  0.0000
Te  0.0000  0.5000  0.0000
Te  0.5000  0.0000  0.0000
Pd  0.5000  0.5000  0.5000
N  0.0000  0.0000  0.5000

Uncorrected energy in eV per atom: -2.668
Formation energy from raw total energies in meV per atom: 1866


# 22
# KPt3N

An optimized crystal structure of KPt3N (GGA-PBEsol, Alexandria).

Cell lengths 4.9213, 4.9213, 4.9213 Å; angles 90.00, 90.00, 90.00 degrees
Fractional coordinates of all 5 atoms:
K  0.0000  0.0000  0.0000
Pt  0.0000  0.0000  0.5000
Pt  0.0000  0.5000  0.0000
Pt  0.5000  0.0000  0.0000
N  0.5000  0.5000  0.5000

Uncorrected energy in eV per atom: -2.661
Formation energy from raw total energies in meV per atom: 3449


# 23
# KSc2PtN

An optimized crystal structure of KSc2PtN (GGA-PBEsol, Alexandria).

Cell lengths 4.9357, 4.9357, 6.2925 Å; angles 90.00, 90.00, 90.00 degrees
Fractional coordinates of all 5 atoms:
K  0.0000  0.0000  0.0000
Sc  0.0000  0.5000  0.5000
Sc  0.5000  0.0000  0.5000
Pt  0.0000  0.0000  0.5000
N  0.5000  0.5000  0.0000

Uncorrected energy in eV per atom: -5.057
Formation energy from raw total energies in meV per atom: 910


# 24
# KTePtN2

An optimized crystal structure of KTePtN2 (GGA-PBEsol, Alexandria).

Cell lengths 4.1824, 4.1824, 5.5677 Å; angles 90.00, 90.00, 90.00 degrees
Fractional coordinates of all 5 atoms:
K  0.0000  0.0000  0.0000
Te  0.5000  0.5000  0.0000
Pt  0.5000  0.5000  0.5000
N  0.0000  0.5000  0.5000
N  0.5000  0.0000  0.5000

Uncorrected energy in eV per atom: -4.645
Energy above the most stable polymorph in this dataset in kJ/mol of atoms: 0.00
Formation energy from raw total energies in meV per atom: 1090


# 25
# KTePtN2

An optimized crystal structure of KTePtN2 (GGA-PBEsol, Alexandria).

Cell lengths 4.4421, 4.4421, 6.5949 Å; angles 90.00, 90.00, 90.00 degrees
Fractional coordinates of all 5 atoms:
K  0.0000  0.0000  0.0000
Te  0.0000  0.0000  0.5000
Pt  0.5000  0.5000  0.5000
N  0.0000  0.5000  0.0000
N  0.5000  0.0000  0.0000

Uncorrected energy in eV per atom: -3.193
Energy above the most stable polymorph in this dataset in kJ/mol of atoms: 140.14
Formation energy from raw total energies in meV per atom: 2543